No. 1
# TmCd2Ga

Crystalline TmCd2Ga at its relaxed geometry (GGA-PBE, Alexandria).

abc: 4.768 4.301 4.301
angles: 90.00 90.00 90.00
Atoms (fractional coordinates):
Ga 0.500 0.000 0.000
Tm 0.500 0.500 0.500
Cd 0.000 0.000 0.500
Cd 0.000 0.500 0.000

Offset from the most stable computed form in meV/atom: 0
Size of the total moment in μB/atom: 0.000
ΔE_f in eV per formula unit: -1.25

---

No. 2
# Tm5Cd2Ga2

Crystalline Tm5Cd2Ga2 at its relaxed geometry (GGA-PBE, Alexandria).

abc: 7.475 7.516 8.962
angles: 114.79 90.00 90.00
Atoms (fractional coordinates):
Tm 0.822 0.812 0.257
Tm 0.178 0.445 0.257
Tm 0.000 0.000 0.000
Tm 0.678 0.312 0.257
Tm 0.322 0.688 0.743
Tm 0.178 0.188 0.743
Tm 0.678 0.055 0.743
Tm 0.822 0.555 0.743
Tm 0.322 0.945 0.257
Tm 0.500 0.500 0.000
Cd 0.500 0.721 0.441
Cd 0.500 0.279 0.559
Cd 0.000 0.221 0.441
Cd 0.000 0.779 0.559
Ga 0.379 0.120 0.000
Ga 0.621 0.880 0.000
Ga 0.121 0.620 0.000
Ga 0.879 0.380 0.000

Size of the total moment in μB/atom: 0.000
ΔE_f in eV per formula unit: -3.56